! CsEu3Pd PBE optimized geometry; values from VASP
! Energy of formation from the pure elements: -0.15 eV per atom
! Total moment: 22.406 μB per cell
! Mass density: 5.22 g/cm3
! VASP energy: -7.5205 eV/atom
&SYSTEM
  ibrav = 0, nat = 5, ntyp = 3
/
ATOMIC_SPECIES
Eu 151.96 Eu.upf
Cs 132.91 Cs.upf
Pd 106.42 Pd.upf
CELL_PARAMETERS angstrom
-4.911 -2.349 -2.637
0.817 -5.150 3.066
-3.435 2.133 4.498
ATOMIC_POSITIONS angstrom
Eu 0.408 -2.575 1.533
Eu -1.718 1.066 2.249
Eu -2.455 -1.174 -1.318
Cs -3.765 -2.683 2.464
Pd 0.000 0.000 0.000


! CsEuPd4 PBE optimized geometry; values from VASP
! Energy of formation from the pure elements: -0.26 eV per atom
! Total moment: 6.736 μB per cell
! Mass density: 9.22 g/cm3
! VASP energy: -5.5753 eV/atom
&SYSTEM
  ibrav = 0, nat = 6, ntyp = 3
/
ATOMIC_SPECIES
Eu 151.96 Eu.upf
Cs 132.91 Cs.upf
Pd 106.42 Pd.upf
CELL_PARAMETERS angstrom
5.657 0.000 0.000
2.829 4.899 0.000
2.829 1.633 4.619
ATOMIC_POSITIONS angstrom
Eu 0.000 0.000 0.000
Cs 2.829 1.633 1.155
Pd 5.657 3.266 0.567
Pd 5.657 1.623 2.890
Pd 7.080 4.087 2.890
Pd 4.235 4.087 2.890


! CsEu3Pt PBE optimized geometry; values from VASP
! Energy of formation from the pure elements: -0.31 eV per atom
! Total moment: 22.204 μB per cell
! Mass density: 6.07 g/cm3
! VASP energy: -7.8552 eV/atom
&SYSTEM
  ibrav = 0, nat = 5, ntyp = 3
/
ATOMIC_SPECIES
Eu 151.96 Eu.upf
Cs 132.91 Cs.upf
Pt 195.08 Pt.upf
CELL_PARAMETERS angstrom
-2.071 0.196 -5.613
0.817 -5.909 -0.508
-5.557 -0.941 2.017
ATOMIC_POSITIONS angstrom
Eu 0.408 -2.954 -0.254
Eu -2.779 -0.471 1.009
Eu -1.036 0.098 -2.807
Cs -3.406 -3.327 -2.052
Pt 0.000 0.000 0.000


! CsRb2Eu PBE optimized geometry; values from VASP
! Energy of formation from the pure elements: 0.17 eV per atom
! Total moment: 7.557 μB per cell
! Mass density: 2.36 g/cm3
! VASP energy: -3.0936 eV/atom
&SYSTEM
  ibrav = 0, nat = 4, ntyp = 3
/
ATOMIC_SPECIES
Eu 151.96 Eu.upf
Cs 132.91 Cs.upf
Rb 85.47 Rb.upf
CELL_PARAMETERS angstrom
4.640 0.000 0.000
0.000 4.640 0.000
0.000 0.000 14.874
ATOMIC_POSITIONS angstrom
Eu 2.320 2.320 0.000
Cs 2.320 2.320 7.437
Rb 0.000 0.000 11.601
Rb 0.000 0.000 3.273